Entry 1:
Density functional theory data (PBE) for a relaxed structure of Rb4CeTm3Te8.

```
Rb4CeTm3Te8
1.0
4.540 2.621 8.545
-4.540 2.621 8.545
0.000 -5.242 8.545
Rb Ce Tm Te
4 1 3 8
Direct
0.000 0.000 0.000
0.000 0.500 0.500
0.500 0.000 0.500
0.500 0.500 0.000
0.500 0.500 0.500
0.000 0.000 0.500
0.000 0.500 0.000
0.500 0.000 0.000
0.223 0.738 0.738
0.232 0.232 0.232
0.262 0.262 0.777
0.262 0.777 0.262
0.738 0.223 0.738
0.738 0.738 0.223
0.768 0.768 0.768
0.777 0.262 0.262
```

Properties
- uncorrected formation energy (eV per atom) = -1.345
- spin magnetization (μB per formula unit) = 1.0
- energy (eV/atom) = -4.367

***

Entry 2:
Density functional theory data (PBE) for a relaxed structure of BaBi2I2.

```
BaBi2I2
1.0
-2.976 2.976 6.401
2.976 -2.976 6.401
2.976 2.976 -6.401
Ba Bi I
1 2 2
Direct
0.000 0.000 0.000
0.392 0.392 0.000
0.608 0.608 0.000
0.250 0.750 0.500
0.750 0.250 0.500
```

Properties
- uncorrected formation energy (eV per atom) = -0.416
- spin magnetization (μB per formula unit) = 0.0
- ΔE to the lowest computed polymorph (eV per atom) = 0.062
- energy (eV/atom) = -2.973

***

Entry 3:
Density functional theory data (PBE) for a relaxed structure of Pm3PrHo.

```
Pm3PrHo
1.0
6.290 0.000 0.000
-1.064 6.216 0.000
-3.139 -2.660 8.700
Pm Pr Ho
6 2 2
Direct
0.099 0.302 0.101
0.298 0.398 0.797
0.299 0.902 0.301
0.701 0.098 0.699
0.702 0.602 0.203
0.901 0.698 0.899
0.500 0.000 0.000
0.500 0.500 0.500
0.099 0.800 0.598
0.901 0.200 0.402
```

Properties
- formation energy from the elements (kJ/mol of atoms) = 1.5
- spin magnetization (μB per formula unit) = 0.0
- ΔE to the lowest computed polymorph (eV per atom) = 0.000
- energy (eV/atom) = -4.706

***

Entry 4:
Density functional theory data (PBE) for a relaxed structure of Ba2ZrAs.

```
Ba2ZrAs
1.0
5.211 0.000 0.000
0.000 5.211 0.000
0.000 0.000 4.817
Ba Zr As
2 1 1
Direct
0.000 0.500 0.000
0.500 0.000 0.000
0.000 0.000 0.500
0.500 0.500 0.500
```

Properties
- formation energy from the elements (kJ/mol of atoms) = 8.7
- spin magnetization (μB per formula unit) = 2.6
- energy (eV/atom) = -4.171

***

Entry 5:
Density functional theory data (PBE) for a relaxed structure of Tc8Au.

```
Tc8Au
1.0
-4.140 4.140 1.960
4.140 -4.140 1.960
4.140 4.140 -1.960
Tc Au
8 1
Direct
0.000 0.340 0.340
0.000 0.660 0.660
0.326 0.326 0.651
0.326 0.674 0.000
0.340 0.000 0.340
0.660 0.000 0.660
0.674 0.326 0.000
0.674 0.674 0.349
0.000 0.000 0.000
```

Properties
- formation energy from the elements (kJ/mol of atoms) = 11.3
- spin magnetization (μB per formula unit) = 0.0
- energy (eV/atom) = -9.461

***

Entry 6:
Density functional theory data (PBE) for a relaxed structure of Li2YAsSe4.

```
Li2YAsSe4
1.0
6.843 0.000 0.000
0.000 3.979 0.000
-2.303 0.000 6.515
Li Y As Se
2 1 1 4
Direct
0.000 0.000 0.000
0.000 0.500 0.500
0.500 0.000 0.500
0.500 0.500 0.000
0.249 0.500 0.238
0.255 0.000 0.765
0.745 0.000 0.235
0.751 0.500 0.762
```

Properties
- uncorrected formation energy (eV per atom) = -1.099
- spin magnetization (μB per formula unit) = 0.0
- energy (eV/atom) = -4.709